No. 1
A plane-wave DFT calculation with PBE-GGA was carried out for crystalline PrTmHgIr at its relaxed geometry.

As for the formation energy: -0.5376 eV per atom. The calculation puts the density at 12.3 g cm⁻³.

The space group is F-43m (No. 216) and the conventional cell measures 7.2335, 7.2335 and 7.2335 Å, with angles of 90.00, 90.00 and 90.00 degrees. Symmetry generates all atoms from Pr at (0.0000, 0.0000, 0.0000), Tm at (0.0000, 0.0000, 0.5000), Hg at (0.2500, 0.2500, 0.2500) and Ir at (0.2500, 0.2500, 0.7500).

No. 2
A plane-wave DFT calculation with PBE-GGA was carried out for crystalline PrYHgIr at its relaxed geometry.

As for the formation energy: -0.5280 eV per atom. The calculation puts the density at 10.7 g cm⁻³.

The space group is F-43m (No. 216) and the conventional cell measures 7.2841, 7.2841 and 7.2841 Å, with angles of 90.00, 90.00 and 90.00 degrees. Symmetry generates all atoms from Pr at (0.0000, 0.0000, 0.0000), Y at (0.0000, 0.0000, 0.5000), Hg at (0.2500, 0.2500, 0.7500) and Ir at (0.2500, 0.2500, 0.2500).

No. 3
A plane-wave DFT calculation with PBE-GGA was carried out for crystalline HgIr2Pt at its relaxed geometry.

As for the formation energy: 0.3804 eV per atom. The calculation puts the density at 20.0 g cm⁻³.

The space group is I-4m2 (No. 119) and the conventional cell measures 4.0479, 4.0479 and 7.9029 Å, with angles of 90.00, 90.00 and 90.00 degrees. Symmetry generates all atoms from Hg at (0.0000, 0.0000, 0.0000), Ir at (0.0000, 0.0000, 0.5000), Ir at (0.0000, 0.5000, 0.7500) and Pt at (0.0000, 0.5000, 0.2500).

No. 4
A plane-wave DFT calculation with PBE-GGA was carried out for crystalline HgIrPt2 at its relaxed geometry.

As for the formation energy: 0.5025 eV per atom. The calculation puts the density at 18.0 g cm⁻³.

The space group is I-42d (No. 122) and the conventional cell measures 3.9279, 3.9279 and 18.7366 Å, with angles of 90.00, 90.00 and 90.00 degrees. Symmetry generates all atoms from Hg at (0.0000, 0.0000, 0.0000), Ir at (0.0000, 0.0000, 0.5000) and Pt at (0.2289, 0.2500, 0.6250).

No. 5
A plane-wave DFT calculation with PBE-GGA was carried out for crystalline HgIrPt2 at its relaxed geometry.

As for the formation energy: 0.1320 eV per atom. The calculation puts the density at 19.6 g cm⁻³.

The space group is P4/mmm (No. 123) and the conventional cell measures 2.8520, 2.8520 and 8.1702 Å, with angles of 90.00, 90.00 and 90.00 degrees. Symmetry generates all atoms from Hg at (0.0000, 0.0000, 0.0000), Ir at (0.0000, 0.0000, 0.5000) and Pt at (0.5000, 0.5000, 0.2701).

No. 6
A plane-wave DFT calculation with PBE-GGA was carried out for crystalline HgIrPt2 at its relaxed geometry.

As for the formation energy: 0.2028 eV per atom. The calculation puts the density at 19.6 g cm⁻³.

The space group is Cm (No. 8) and the conventional cell measures 9.4237, 2.8548 and 4.9910 Å, with angles of 90.00, 99.73 and 90.00 degrees. Symmetry generates all atoms from Hg at (0.0000, 0.0000, 0.0000), Ir at (0.2480, 0.0000, 0.7203), Pt at (0.0051, 0.5000, 0.5071) and Pt at (0.2542, 0.5000, 0.2483).

No. 7
A plane-wave DFT calculation with PBE-GGA was carried out for crystalline HgIr2Pt at its relaxed geometry.

As for the formation energy: 0.4029 eV per atom. The calculation puts the density at 19.4 g cm⁻³.

The space group is Imm2 (No. 44) and the conventional cell measures 2.7860, 4.8390 and 9.8818 Å, with angles of 90.00, 90.00 and 90.00 degrees. Symmetry generates all atoms from Hg at (0.0000, 0.0000, 0.0000), Ir at (0.0000, 0.0000, 0.4865), Ir at (0.0000, 0.5000, 0.7633) and Pt at (0.0000, 0.5000, 0.2301).

No. 8
A plane-wave DFT calculation with PBE-GGA was carried out for crystalline HgIrPt2 at its relaxed geometry.

As for the formation energy: 0.2684 eV per atom. The calculation puts the density at 19.6 g cm⁻³.

The space group is I4/mmm (No. 139) and the conventional cell measures 4.0940, 4.0940 and 7.8991 Å, with angles of 90.00, 90.00 and 90.00 degrees. Symmetry generates all atoms from Hg at (0.0000, 0.0000, 0.0000), Ir at (0.0000, 0.0000, 0.5000) and Pt at (0.0000, 0.5000, 0.2500).

No. 9
A plane-wave DFT calculation with PBE-GGA was carried out for crystalline HgIr2Pt at its relaxed geometry.

As for the formation energy: 0.4867 eV per atom. The calculation puts the density at 19.6 g cm⁻³.

The space group is P4/mmm (No. 123) and the conventional cell measures 3.3040, 3.3040 and 6.0650 Å, with angles of 90.00, 90.00 and 90.00 degrees. Symmetry generates all atoms from Hg at (0.0000, 0.0000, 0.0000), Ir at (0.5000, 0.5000, 0.2757) and Pt at (0.0000, 0.0000, 0.5000).

No. 10
A plane-wave DFT calculation with PBE-GGA was carried out for crystalline HgIr4Pt at its relaxed geometry.

As for the formation energy: 0.6512 eV per atom. The calculation puts the density at 19.2 g cm⁻³.

The space group is F-43m (No. 216) and the conventional cell measures 7.3867, 7.3867 and 7.3867 Å, with angles of 90.00, 90.00 and 90.00 degrees. Symmetry generates all atoms from Hg at (0.0000, 0.0000, 0.0000), Ir at (0.1249, 0.1249, 0.6249) and Pt at (0.2500, 0.2500, 0.2500).

No. 11
A plane-wave DFT calculation with PBE-GGA was carried out for crystalline HgIr2Pt at its relaxed geometry.

As for the formation energy: 0.3781 eV per atom. The calculation puts the density at 19.6 g cm⁻³.

The space group is Immm (No. 71) and the conventional cell measures 2.7702, 4.8507 and 9.8572 Å, with angles of 90.00, 90.00 and 90.00 degrees. Symmetry generates all atoms from Hg at (0.0000, 0.0000, 0.0000), Ir at (0.0000, 0.5000, 0.2352) and Pt at (0.0000, 0.0000, 0.5000).

No. 12
A plane-wave DFT calculation with PBE-GGA was carried out for crystalline HgIrPt2 at its relaxed geometry.

As for the formation energy: 0.2764 eV per atom. The calculation puts the density at 19.7 g cm⁻³.

The space group is I-4m2 (No. 119) and the conventional cell measures 4.1020, 4.1020 and 7.8619 Å, with angles of 90.00, 90.00 and 90.00 degrees. Symmetry generates all atoms from Hg at (0.0000, 0.0000, 0.0000), Ir at (0.0000, 0.5000, 0.7500), Pt at (0.0000, 0.0000, 0.5000) and Pt at (0.0000, 0.5000, 0.2500).

No. 13
A plane-wave DFT calculation with PBE-GGA was carried out for crystalline HgIrPt2 at its relaxed geometry.

As for the formation energy: 0.2040 eV per atom. The calculation puts the density at 19.6 g cm⁻³.

The space group is Pmm2 (No. 25) and the conventional cell measures 2.8284, 4.7471 and 4.9409 Å, with angles of 90.00, 90.00 and 90.00 degrees. Symmetry generates all atoms from Hg at (0.0000, 0.0000, 0.0000), Ir at (0.0000, 0.5000, 0.6074), Pt at (0.5000, 0.0000, 0.5094) and Pt at (0.5000, 0.5000, 0.1309).

No. 14
A plane-wave DFT calculation with PBE-GGA was carried out for crystalline HgIr2Pt2 at its relaxed geometry.

As for the formation energy: 0.3281 eV per atom. The calculation puts the density at 19.0 g cm⁻³.

The space group is P4/mbm (No. 127) and the conventional cell measures 7.7841, 7.7841 and 2.8097 Å, with angles of 90.00, 90.00 and 90.00 degrees. Symmetry generates all atoms from Hg at (0.0000, 0.0000, 0.0000), Ir at (0.1225, 0.3775, 0.0000) and Pt at (0.1756, 0.6756, 0.5000).

No. 15
A plane-wave DFT calculation with PBE-GGA was carried out for crystalline HgIr2Pt at its relaxed geometry.

As for the formation energy: 0.4332 eV per atom. The calculation puts the density at 19.6 g cm⁻³.

The space group is Cmmm (No. 65) and the conventional cell measures 2.7778, 4.9218 and 9.6507 Å, with angles of 90.00, 90.00 and 90.00 degrees. Symmetry generates all atoms from Hg at (0.0000, 0.0000, 0.0000), Ir at (0.0000, 0.5000, 0.2606) and Pt at (0.0000, 0.0000, 0.5000).

No. 16
A plane-wave DFT calculation with PBE-GGA was carried out for crystalline HgIrPt2 at its relaxed geometry.

As for the formation energy: 0.2807 eV per atom. The calculation puts the density at 19.4 g cm⁻³.

The space group is Cmm2 (No. 35) and the conventional cell measures 2.8015, 4.9330 and 9.7219 Å, with angles of 90.00, 90.00 and 90.00 degrees. Symmetry generates all atoms from Hg at (0.0000, 0.0000, 0.0000), Ir at (0.0000, 0.5000, 0.2579), Pt at (0.0000, 0.0000, 0.4927) and Pt at (0.0000, 0.5000, 0.7381).

No. 17
A plane-wave DFT calculation with PBE-GGA was carried out for crystalline HgIr2Pt2 at its relaxed geometry.

As for the formation energy: 0.4374 eV per atom. The calculation puts the density at 18.1 g cm⁻³.

The space group is I4/mmm (No. 139) and the conventional cell measures 3.7926, 3.7926 and 12.4323 Å, with angles of 90.00, 90.00 and 90.00 degrees. Symmetry generates all atoms from Hg at (0.0000, 0.0000, 0.0000), Ir at (0.0000, 0.0000, 0.4013) and Pt at (0.0000, 0.5000, 0.2500).

No. 18
A plane-wave DFT calculation with PBE-GGA was carried out for crystalline HgIr2Pt at its relaxed geometry.

As for the formation energy: 0.2349 eV per atom. The calculation puts the density at 19.9 g cm⁻³.

The space group is R3m (No. 160, hexagonal axes) and the conventional cell measures 2.8380, 2.8380 and 28.0560 Å, with angles of 90.00, 90.00 and 120.00 degrees. Symmetry generates all atoms from Hg at (0.0000, 0.0000, 0.0000), Ir at (0.0000, 0.0000, 0.2446), Ir at (0.0000, 0.0000, 0.5035) and Pt at (0.0000, 0.0000, 0.7565).

No. 19
A plane-wave DFT calculation with PBE-GGA was carried out for crystalline HgIrPt2 at its relaxed geometry.

As for the formation energy: 0.2720 eV per atom. The calculation puts the density at 19.7 g cm⁻³.

The space group is P4/mmm (No. 123) and the conventional cell measures 3.9885, 3.9885 and 4.1543 Å, with angles of 90.00, 90.00 and 90.00 degrees. Symmetry generates all atoms from Hg at (0.0000, 0.0000, 0.0000), Ir at (0.5000, 0.5000, 0.0000) and Pt at (0.0000, 0.5000, 0.5000).

No. 20
A plane-wave DFT calculation with PBE-GGA was carried out for crystalline HgIrPt2 at its relaxed geometry.

As for the formation energy: 0.1754 eV per atom. The calculation puts the density at 19.8 g cm⁻³.

The space group is Cmmm (No. 65) and the conventional cell measures 5.7041, 8.0758 and 2.8518 Å, with angles of 90.00, 90.00 and 90.00 degrees. Symmetry generates all atoms from Hg at (0.0000, 0.0000, 0.0000), Ir at (0.0000, 0.5000, 0.0000) and Pt at (0.2500, 0.2500, 0.5000).